VASP calculation (PBE) on Ac3Ir2O9 after structural relaxation.

Cell and atoms, written as POSCAR:
```
Ac3Ir2O9
1.0
5.617 0.000 0.000
-2.808 4.864 0.000
0.000 0.000 14.322
Ac Ir O
6 4 18
Cartesian
0.000 0.000 10.741
0.000 0.000 3.580
2.808 1.621 13.274
0.000 3.243 1.048
0.000 3.243 6.113
2.808 1.621 8.209
2.808 1.621 2.343
0.000 3.243 11.979
0.000 3.243 9.504
2.808 1.621 4.818
2.808 0.062 10.741
4.159 2.401 10.741
1.458 2.401 10.741
0.000 4.803 3.580
-1.351 2.463 3.580
1.351 2.463 3.580
0.000 1.679 13.127
1.354 4.025 13.127
-1.354 4.025 13.127
2.808 3.185 1.195
1.454 0.839 1.195
4.163 0.839 1.195
2.808 3.185 5.966
1.454 0.839 5.966
4.163 0.839 5.966
0.000 1.679 8.356
1.354 4.025 8.356
-1.354 4.025 8.356
```

Results
Its density of states at the Fermi level is 0.6891 states/eV per atom. The value obtained for the uncorrected energy is -7.420 eV per atom. The crystal system is hexagonal. Its raw formation energy is -2087 meV per atom. As for the space-group type: P6_3/mmc.

***

VASP calculation (PBE) on AcIrO3 after structural relaxation.

Cell and atoms, written as POSCAR:
```
AcIrO3
1.0
4.079 0.000 0.000
0.000 4.079 0.000
0.000 0.000 4.079
Ac Ir O
1 1 3
Cartesian
2.040 2.040 2.040
0.000 0.000 0.000
0.000 2.040 0.000
0.000 0.000 2.040
2.040 0.000 0.000
```

Results
Its density of states at the Fermi level is 0.4274 states/eV per atom. The value obtained for the uncorrected energy is -7.306 eV per atom. The crystal system is cubic. Its raw formation energy is -1737 meV per atom. As for the space-group type: Pm-3m.

***

VASP calculation (PBE) on AcIrOsO6 after structural relaxation.

Cell and atoms, written as POSCAR:
```
AcIrOsO6
1.0
6.743 0.000 0.000
0.000 7.185 0.000
-3.371 -3.592 5.050
Ac Ir Os O
2 2 2 12
Cartesian
3.371 1.796 3.950
0.000 1.796 1.100
1.686 -1.796 2.525
-1.686 -1.796 2.525
3.371 3.592 0.000
3.371 0.000 0.000
0.000 1.796 4.795
3.371 -1.796 3.713
4.758 -0.113 1.366
1.985 3.705 1.366
1.985 -0.113 1.366
4.758 3.705 1.366
3.371 1.796 0.255
0.000 5.388 1.337
-1.387 3.705 3.683
1.387 -0.113 3.683
1.387 3.705 3.683
-1.387 -0.113 3.683
```

Results
Its density of states at the Fermi level is 0.5808 states/eV per atom. The value obtained for the uncorrected energy is -7.400 eV per atom. The crystal system is orthorhombic. Its raw formation energy is -1406 meV per atom. As for the space-group type: Imma.

***

VASP calculation (PBE) on AcP2IrO8 after structural relaxation.

Cell and atoms, written as POSCAR:
```
AcP2IrO8
1.0
4.880 0.000 0.000
2.440 4.226 0.000
2.440 1.409 7.461
Ac P Ir O
1 2 1 8
Cartesian
0.000 0.000 0.000
7.320 4.226 5.545
2.440 1.409 1.916
4.880 2.817 3.731
7.320 4.226 7.109
2.440 1.409 0.352
3.909 1.623 2.329
6.400 3.061 5.133
3.909 4.012 5.133
4.331 4.256 2.329
6.400 2.574 2.329
4.331 1.379 5.133
```

Results
The value obtained for the uncorrected energy is -7.306 eV per atom. The crystal system is trigonal. Its raw formation energy is -2018 meV per atom. As for the space-group type: R32.

***

VASP calculation (PBE) on Ac4PIrO2 after structural relaxation.

Cell and atoms, written as POSCAR:
```
Ac4PIrO2
1.0
4.214 0.000 0.000
0.000 6.915 -0.234
0.000 2.341 6.773
Ac P Ir O
4 1 1 2
Cartesian
0.000 7.142 4.975
4.214 2.114 1.565
2.107 5.891 1.522
2.107 3.366 5.018
0.000 4.628 3.270
2.107 3.458 -0.117
0.000 2.341 6.773
2.107 1.170 3.387
```

Results
Its density of states at the Fermi level is 0.5091 states/eV per atom. The value obtained for the uncorrected energy is -6.792 eV per atom. The crystal system is monoclinic. Its raw formation energy is -1714 meV per atom. As for the space-group type: P2/m.

***

VASP calculation (PBE) on Ac2PaIrO8 after structural relaxation.

Cell and atoms, written as POSCAR:
```
Ac2PaIrO8
1.0
-0.830 2.601 3.572
2.752 -3.991 2.788
6.337 3.577 -1.133
Ac Pa Ir O
2 1 1 8
Cartesian
5.781 2.025 2.318
2.478 0.161 2.909
3.168 1.789 -0.566
0.000 0.000 0.000
3.603 -2.100 2.191
8.019 2.022 3.364
1.319 2.403 3.632
4.656 4.287 3.036
0.240 0.164 1.863
6.940 -0.216 1.595
4.789 0.270 3.704
3.470 1.917 1.523
```

Results
The value obtained for the uncorrected energy is -8.057 eV per atom. The crystal system is monoclinic. Its raw formation energy is -2537 meV per atom. As for the space-group type: P2/m.

***

VASP calculation (PBE) on AcIrPbO6 after structural relaxation.

Cell and atoms, written as POSCAR:
```
AcIrPbO6
1.0
6.044 0.000 0.000
-3.022 5.234 0.000
0.000 0.000 8.696
Ac Ir Pb O
2 2 2 12
Cartesian
0.000 3.490 2.174
3.022 1.745 6.522
3.022 1.745 2.174
0.000 3.490 6.522
0.000 0.000 0.000
0.000 0.000 4.348
2.218 3.144 1.097
4.636 1.742 1.097
-0.809 4.886 5.445
-1.614 3.492 7.598
1.408 1.742 3.250
3.826 3.144 3.250
0.809 4.886 7.598
3.831 0.349 3.250
-0.804 2.091 5.445
2.213 0.349 1.097
1.614 3.492 5.445
0.804 2.091 7.598
```

Results
Its density of states at the Fermi level is 0.7394 states/eV per atom. The value obtained for the uncorrected energy is -6.587 eV per atom. The crystal system is trigonal. Its raw formation energy is -1428 meV per atom. As for the space-group type: P-31c.

***

VASP calculation (PBE) on Ac3IrPbO after structural relaxation.

Cell and atoms, written as POSCAR:
```
Ac3IrPbO
1.0
-2.447 -1.285 -3.287
-4.672 -6.201 5.902
-5.166 8.542 0.507
Ac Ir Pb O
6 2 2 2
Cartesian
-6.894 -1.451 4.297
-6.681 -5.126 2.770
-4.721 -2.419 0.253
-5.390 2.507 -1.176
-7.563 3.476 2.869
-5.604 6.183 0.352
-4.502 -3.122 3.169
-7.782 4.179 -0.048
-9.559 0.546 2.695
-2.725 0.510 0.427
-4.058 4.270 -0.051
-8.227 -3.213 3.173
```

Results
Its density of states at the Fermi level is 0.6177 states/eV per atom. The value obtained for the uncorrected energy is -6.306 eV per atom. The crystal system is monoclinic. Its raw formation energy is -1330 meV per atom. As for the space-group type: P2_1/m.

***

VASP calculation (PBE) on AcIr2PbO8 after structural relaxation.

Cell and atoms, written as POSCAR:
```
AcIr2PbO8
1.0
-2.889 1.773 -5.097
0.410 -5.951 1.374
-5.815 0.392 3.432
Ac Ir Pb O
1 2 1 8
Cartesian
0.000 0.000 0.000
-1.981 -0.789 -2.827
-6.313 -2.998 2.536
-2.908 0.196 1.716
-7.475 -1.568 -0.894
-6.093 -0.883 1.369
-6.971 1.067 -0.342
-0.820 -2.219 0.603
-2.202 -2.904 -1.660
-1.323 -4.854 0.051
-3.517 -0.686 -1.921
-4.777 -3.101 1.629
```

Results
Its density of states at the Fermi level is 0.8758 states/eV per atom. The value obtained for the uncorrected energy is -6.169 eV per atom. The crystal system is trigonal. Its raw formation energy is -735 meV per atom. As for the space-group type: P-3.

***

VASP calculation (PBE) on Ac5IrPb2O after structural relaxation.

Cell and atoms, written as POSCAR:
```
Ac5IrPb2O
1.0
-3.846 2.482 0.198
-0.623 -4.449 -9.361
-6.499 -10.503 5.424
Ac Ir Pb O
10 2 4 2
Cartesian
-1.780 -2.246 -6.428
-8.582 -9.184 1.434
-7.060 -7.060 4.366
-5.775 -8.822 -1.590
-7.589 -7.109 -5.302
-5.959 -5.005 -0.006
-4.068 -6.003 -3.770
-4.425 -6.246 -7.674
-4.128 -1.927 -3.039
-0.433 -0.599 -0.896
-6.830 -6.152 -2.540
-1.192 -1.556 -3.658
-9.088 -9.655 -2.492
-4.990 -7.872 1.760
-2.629 -4.024 -0.623
-5.134 -3.233 -6.204
-8.365 -9.064 4.156
-5.149 -7.518 -5.772
```

Results
Its density of states at the Fermi level is 0.7297 states/eV per atom. The value obtained for the uncorrected energy is -5.688 eV per atom. The crystal system is orthorhombic. Its raw formation energy is -1046 meV per atom. As for the space-group type: Cmc2_1.

***

VASP calculation (PBE) on Ac2IrPbO5 after structural relaxation.

Cell and atoms, written as POSCAR:
```
Ac2IrPbO5
1.0
5.866 0.000 0.000
0.000 7.218 0.000
0.000 0.000 7.218
Ac Ir Pb O
4 2 2 10
Cartesian
2.933 4.878 1.269
2.933 1.269 2.340
2.933 5.949 4.878
2.933 2.340 5.949
0.000 0.000 3.609
0.000 3.609 0.000
0.000 3.609 3.609
0.000 0.000 0.000
2.933 3.609 3.609
2.933 0.000 0.000
1.426 0.995 4.604
1.426 6.222 2.613
1.426 2.613 0.995
1.426 4.604 6.222
4.439 0.995 4.604
4.439 4.604 6.222
4.439 6.222 2.613
4.439 2.613 0.995
```

Results
Its density of states at the Fermi level is 0.5570 states/eV per atom. The value obtained for the uncorrected energy is -7.093 eV per atom. The crystal system is tetragonal. Its raw formation energy is -2029 meV per atom. As for the space-group type: P4/mbm.

***

VASP calculation (PBE) on Ac2IrPbO8 after structural relaxation.

Cell and atoms, written as POSCAR:
```
Ac2IrPbO8
1.0
4.540 -0.536 0.159
-0.634 6.089 0.008
0.242 0.017 6.774
Ac Ir Pb O
2 1 1 8
Cartesian
1.059 3.167 5.150
3.089 2.403 1.792
0.000 0.000 0.000
0.121 0.008 3.387
0.277 5.066 1.420
3.122 3.975 6.638
3.390 -0.027 1.698
3.870 0.504 5.521
1.026 1.595 0.303
0.757 5.597 5.244
3.218 3.529 3.938
0.929 2.040 3.004
```

Results
Its density of states at the Fermi level is 0.3127 states/eV per atom. The value obtained for the uncorrected energy is -6.829 eV per atom. The crystal system is triclinic. Its raw formation energy is -1792 meV per atom. As for the space-group type: P-1.

***

VASP calculation (PBE) on AcIrPb2O8 after structural relaxation.

Cell and atoms, written as POSCAR:
```
AcIrPb2O8
1.0
5.023 0.043 0.002
0.086 5.127 0.003
0.013 0.019 7.042
Ac Ir Pb O
1 1 2 8
Cartesian
0.006 0.010 3.521
0.000 0.000 0.000
2.558 2.591 5.349
2.563 2.597 1.698
0.840 4.009 1.438
3.572 3.991 7.042
4.261 1.155 1.435
4.281 1.180 5.608
1.549 1.198 0.005
0.860 4.033 5.612
3.191 3.730 3.527
1.930 1.459 3.519
```

Results
Its density of states at the Fermi level is 0.4576 states/eV per atom. The value obtained for the uncorrected energy is -6.266 eV per atom. The crystal system is triclinic. Its raw formation energy is -1261 meV per atom. As for the space-group type: P-1.

***

VASP calculation (PBE) on AcIrPdO6 after structural relaxation.

Cell and atoms, written as POSCAR:
```
AcIrPdO6
1.0
5.330 0.000 0.000
-2.665 4.616 0.000
0.000 0.000 10.647
Ac Ir Pd O
2 2 2 12
Cartesian
0.000 0.000 0.000
0.000 0.000 5.323
2.665 1.539 2.662
0.000 3.077 7.985
0.000 3.077 2.662
2.665 1.539 7.985
1.712 2.886 1.565
4.309 1.691 1.565
-0.690 4.577 6.888
-1.643 2.925 9.082
1.022 1.691 3.759
3.618 2.886 3.759
0.690 4.577 9.082
3.355 0.039 3.759
-0.953 1.730 6.888
1.975 0.039 1.565
1.643 2.925 6.888
0.953 1.730 9.082
```

Results
Its density of states at the Fermi level is 0.4413 states/eV per atom. The value obtained for the uncorrected energy is -6.695 eV per atom. The crystal system is trigonal. Its raw formation energy is -1372 meV per atom. As for the space-group type: P-31c.

***

VASP calculation (PBE) on Ac2IrPdO6 after structural relaxation.

Cell and atoms, written as POSCAR:
```
Ac2IrPdO6
1.0
-2.547 0.348 -5.354
-3.997 -3.753 1.657
-4.734 6.215 2.656
Ac Ir Pd O
4 2 2 12
Cartesian
-5.518 -1.164 -0.745
-4.470 3.780 2.372
-7.901 1.964 0.591
-2.119 0.693 1.053
-5.328 0.327 2.556
-2.309 -0.798 -2.248
-4.676 2.309 -0.920
-2.961 -2.780 1.228
-3.247 0.899 -1.691
-5.691 4.107 -0.320
-4.389 -1.370 1.999
-6.680 1.636 3.284
-6.869 -0.374 1.450
-8.030 -0.216 -0.990
-4.745 1.448 0.970
-6.224 1.651 -2.140
-3.959 -1.774 -2.907
-2.892 -1.920 -0.663
-0.768 -0.097 -1.142
-2.154 0.092 -4.056
```

Results
Its density of states at the Fermi level is 0.6043 states/eV per atom. The value obtained for the uncorrected energy is -7.018 eV per atom. The crystal system is orthorhombic. Its raw formation energy is -1816 meV per atom. As for the space-group type: Pmmn.

***

VASP calculation (PBE) on Ac5Ir2PdO after structural relaxation.

Cell and atoms, written as POSCAR:
```
Ac5Ir2PdO
1.0
4.307 0.000 0.000
-2.153 9.270 0.000
0.000 0.000 13.308
Ac Ir Pd O
10 4 2 2
Cartesian
0.000 5.490 0.758
2.153 2.691 11.780
2.153 0.180 8.986
0.000 5.623 9.947
0.000 0.657 5.576
2.153 3.779 7.412
0.000 6.579 5.126
0.000 9.089 2.332
2.153 3.646 3.293
2.153 8.612 12.230
2.153 5.674 11.989
0.000 2.473 9.281
0.000 3.596 5.335
2.153 6.797 2.627
2.153 7.212 7.756
0.000 2.058 1.102
2.153 0.078 11.434
0.000 9.192 4.780
```

Results
Its density of states at the Fermi level is 0.4457 states/eV per atom. The value obtained for the uncorrected energy is -6.463 eV per atom. The crystal system is orthorhombic. Its raw formation energy is -1084 meV per atom. As for the space-group type: Cmc2_1.

***

VASP calculation (PBE) on AcPmIrO6 after structural relaxation.

Cell and atoms, written as POSCAR:
```
AcPmIrO6
1.0
5.269 0.000 0.000
0.000 5.661 0.000
0.000 -2.831 4.903
Ac Pm Ir O
1 1 1 6
Cartesian
0.000 0.000 3.269
2.635 2.831 1.634
2.635 0.000 0.000
3.760 2.025 3.506
3.760 1.613 0.001
3.760 4.854 1.396
1.509 0.807 1.396
1.509 4.049 0.001
1.509 3.636 3.506
```

Results
Its density of states at the Fermi level is 0.1882 states/eV per atom. The value obtained for the uncorrected energy is -7.426 eV per atom. The crystal system is trigonal. Its raw formation energy is -2151 meV per atom. As for the space-group type: P312.

***

VASP calculation (PBE) on Ac2PrIr3O12 after structural relaxation.

Cell and atoms, written as POSCAR:
```
Ac2PrIr3O12
1.0
6.838 -0.206 -0.146
3.198 6.047 -0.146
3.198 1.861 5.756
Ac Pr Ir O
2 1 3 12
Cartesian
8.140 4.738 3.361
5.093 2.964 2.103
0.000 0.000 0.000
3.419 -0.103 -0.073
1.599 3.024 -0.073
1.599 0.931 2.878
5.489 3.195 4.869
9.981 5.810 2.304
8.491 6.657 4.721
7.625 1.982 1.406
9.981 4.096 4.721
5.489 5.652 1.406
7.744 4.508 0.594
3.251 1.893 3.159
4.742 1.046 0.742
5.607 5.721 4.058
3.251 3.607 0.742
7.744 2.051 4.058
```

Results
Its density of states at the Fermi level is 0.4096 states/eV per atom. The value obtained for the uncorrected energy is -7.298 eV per atom. The crystal system is trigonal. Its raw formation energy is -1794 meV per atom. As for the space-group type: R-3m.

***

Number 1: spin magnetization 0.00 μB per formula unit. Number 2: spin magnetization 0.00 μB per formula unit. Number 3: spin magnetization 0.00 μB per formula unit. Number 4: spin magnetization 0.00 μB per formula unit. Number 5: spin magnetization 0.00 μB per formula unit. Number 6: spin magnetization 2.00 μB per formula unit. Number 7: spin magnetization 0.00 μB per formula unit. Number 8: spin magnetization 0.00 μB per formula unit. Number 9: spin magnetization 0.00 μB per formula unit. Number 10: spin magnetization 0.00 μB per formula unit. Number 11: spin magnetization 1.04 μB per formula unit. Number 12: spin magnetization 1.01 μB per formula unit. Number 13: spin magnetization 1.00 μB per formula unit. Number 14: spin magnetization 2.03 μB per formula unit. Number 15: spin magnetization 0.00 μB per formula unit. Number 16: spin magnetization 0.00 μB per formula unit. Number 17: spin magnetization 3.02 μB per formula unit. Number 18: spin magnetization 5.36 μB per formula unit.